Below is LiCa2Br at its PBEsol-relaxed geometry, with properties calculated at the meta-GGA SCAN level.

Unit cell a=5.6821 b=5.6821 c=3.5804 alpha=90.00 beta=90.00 gamma=90.00
Element x y z (fractional)
Li: 0.0000 0.0000 0.0000
Ca: 0.0000 0.5000 0.5000
Ca: 0.5000 0.0000 0.5000
Br: 0.5000 0.5000 0.0000

Calculated values
V = 28.9 A^3/atom
Energy relative to the elements, uncorrected = -11.90 kcal/mol of atoms
Uncorrected energy = -10.810 eV per atom
Total moment = 0.9 Bohr magnetons per cell